First-principles (PBE) data for an optimized crystal structure of CuBi2Mo, as listed in OQMD.

Values from the calculation:
SG: F-43m, No. 216
E in eV/atom: -4.722

Lattice parameters (Å, degrees): 5.005 5.005 5.005 60.00 60.00 60.00
Atoms (fractional coordinates):
Cu  0.250  0.250  0.250
Mo  0.500  0.500  0.500
Bi  0.000  0.000  0.000
Bi  0.750  0.750  0.750



First-principles (PBE) data for an optimized crystal structure of Nb4NiSN2, as listed in OQMD.

Values from the calculation:
SG: P-6m2, No. 187
E in eV/atom: -8.986

Lattice parameters (Å, degrees): 3.220 3.220 12.044 90.00 90.00 120.00
Atoms (fractional coordinates):
S  0.667  0.333  0.000
Nb  0.667  0.333  0.342
N  0.000  0.000  0.749
Nb  0.667  0.333  0.658
Ni  0.333  0.667  0.500
Nb  0.333  0.667  0.850
N  0.000  0.000  0.251
Nb  0.333  0.667  0.150



First-principles (PBE) data for an optimized crystal structure of BeTlNiMo, as listed in OQMD.

Values from the calculation:
SG: F-43m, No. 216
E in eV/atom: -4.965

Lattice parameters (Å, degrees): 4.397 4.397 4.397 60.00 60.00 60.00
Atoms (fractional coordinates):
Be  0.500  0.500  0.500
Mo  0.250  0.250  0.250
Tl  0.000  0.000  0.000
Ni  0.750  0.750  0.750



First-principles (PBE) data for an optimized crystal structure of MgCdAg2, as listed in OQMD.

Values from the calculation:
SG: I4/mmm, No. 139
E in eV/atom: -2.203

Lattice parameters (Å, degrees): 4.684 6.863 14.068 90.00 90.00 90.00
Atoms (fractional coordinates):
Ag  0.000  0.250  0.833
Cd  0.500  0.500  0.500
Ag  0.000  0.250  0.167
Ag  0.500  0.250  0.000
Cd  0.000  0.000  0.333
Ag  0.000  0.750  0.167
Ag  0.500  0.750  0.000
Cd  0.500  0.500  0.167
Cd  0.000  0.000  0.667
Ag  0.500  0.750  0.333
Mg  0.500  0.000  0.833
Ag  0.500  0.750  0.667
Mg  0.000  0.500  0.667
Cd  0.500  0.500  0.833
Ag  0.500  0.250  0.333
Mg  0.000  0.500  0.333
Cd  0.000  0.000  0.000
Ag  0.000  0.750  0.500
Mg  0.500  0.000  0.500
Mg  0.000  0.500  0.000
Mg  0.500  0.000  0.167
Ag  0.500  0.250  0.667
Ag  0.000  0.250  0.500
Ag  0.000  0.750  0.833



First-principles (PBE) data for an optimized crystal structure of CsUPa, as listed in OQMD.

Values from the calculation:
SG: F-43m, No. 216
E in eV/atom: -5.111

Lattice parameters (Å, degrees): 5.145 5.145 5.145 60.00 60.00 60.00
Atoms (fractional coordinates):
Cs  0.250  0.250  0.250
Pa  0.750  0.750  0.750
U  0.000  0.000  0.000



First-principles (PBE) data for an optimized crystal structure of RbYCdTe3, as listed in OQMD.

Values from the calculation:
SG: C2/m, No. 12
E in eV/atom: -3.930

Lattice parameters (Å, degrees): 10.046 10.046 9.929 102.46 102.46 26.05
Atoms (fractional coordinates):
Cd  0.484  0.484  0.281
Te  0.665  0.665  0.365
Rb  0.143  0.143  0.068
Y  0.174  0.174  0.581
Rb  0.857  0.857  0.932
Te  0.668  0.668  0.788
Y  0.826  0.826  0.419
Te  0.500  0.500  0.000
Te  0.000  0.000  0.500
Te  0.332  0.332  0.212
Cd  0.516  0.516  0.719
Te  0.335  0.335  0.635



First-principles (PBE) data for an optimized crystal structure of GaReNO, as listed in OQMD.

Values from the calculation:
SG: Pmc2_1, No. 26
E in eV/atom: -7.510

Lattice parameters (Å, degrees): 3.069 5.026 5.979 90.00 90.00 90.00
Atoms (fractional coordinates):
N  0.000  0.350  0.739
O  0.500  0.902  0.838
Re  0.000  0.481  0.418
O  0.500  0.402  0.162
N  0.000  0.850  0.261
Ga  0.500  0.521  0.842
Ga  0.500  0.021  0.158
Re  0.000  0.981  0.582



First-principles (PBE) data for an optimized crystal structure of PmHfPd, as listed in OQMD.

Values from the calculation:
SG: F-43m, No. 216
Formation energy from the elements in meV/atom: -90
E in eV/atom: -6.715

Lattice parameters (Å, degrees): 4.770 4.770 4.770 60.00 60.00 60.00
Atoms (fractional coordinates):
Pm  0.000  0.000  0.000
Hf  0.500  0.500  0.500
Pd  0.250  0.250  0.250



First-principles (PBE) data for an optimized crystal structure of Nd2Au, as listed in OQMD.

Values from the calculation:
SG: Fd-3m, No. 227
Formation energy from the elements in meV/atom: 282
E in eV/atom: -3.982

Lattice parameters (Å, degrees): 6.211 6.211 6.211 60.00 60.00 60.00
Atoms (fractional coordinates):
Au  0.250  0.250  0.250
Nd  0.625  0.125  0.625
Nd  0.625  0.625  0.625
Nd  0.625  0.625  0.125
Nd  0.125  0.625  0.625
Au  0.000  0.000  0.000



First-principles (PBE) data for an optimized crystal structure of KErMgS3, as listed in OQMD.

Values from the calculation:
SG: P2_1/m, No. 11
E in eV/atom: -4.936

Lattice parameters (Å, degrees): 8.603 4.072 9.688 90.00 107.39 90.00
Atoms (fractional coordinates):
Er  0.331  0.750  0.867
S  0.797  0.250  0.453
Mg  0.914  0.750  0.389
K  0.789  0.750  0.775
S  0.535  0.250  0.848
K  0.211  0.250  0.225
S  0.885  0.750  0.137
Er  0.669  0.250  0.133
S  0.203  0.750  0.547
S  0.465  0.750  0.152
S  0.115  0.250  0.863
Mg  0.086  0.250  0.611



First-principles (PBE) data for an optimized crystal structure of TmSnHg, as listed in OQMD.

Values from the calculation:
SG: F-43m, No. 216
E in eV/atom: -3.140

Lattice parameters (Å, degrees): 4.994 4.994 4.994 60.00 60.00 60.00
Atoms (fractional coordinates):
Sn  0.750  0.750  0.750
Hg  0.250  0.250  0.250
Tm  0.000  0.000  0.000



First-principles (PBE) data for an optimized crystal structure of Nd2AlIrOs, as listed in OQMD.

Values from the calculation:
SG: Imm2, No. 44
E in eV/atom: -7.184

Lattice parameters (Å, degrees): 5.750 5.750 5.750 137.76 77.26 118.70
Atoms (fractional coordinates):
Os  0.274  0.774  0.500
Al  0.005  0.005  0.000
Ir  0.729  0.229  0.500
Nd  0.700  0.496  0.204
Nd  0.291  0.496  0.796



First-principles (PBE) data for an optimized crystal structure of RbErZnSe3, as listed in OQMD.

Values from the calculation:
SG: C2/m, No. 12
E in eV/atom: -4.088

Lattice parameters (Å, degrees): 9.366 9.366 8.971 100.96 100.96 25.99
Atoms (fractional coordinates):
Rb  0.854  0.854  0.933
Se  0.340  0.340  0.224
Er  0.832  0.832  0.433
Zn  0.524  0.524  0.733
Se  0.500  0.500  0.000
Rb  0.146  0.146  0.067
Er  0.168  0.168  0.567
Zn  0.476  0.476  0.267
Se  0.000  0.000  0.500
Se  0.660  0.660  0.776
Se  0.674  0.674  0.362
Se  0.326  0.326  0.638



First-principles (PBE) data for an optimized crystal structure of NpCuTe, as listed in OQMD.

Values from the calculation:
SG: F-43m, No. 216
E in eV/atom: -6.535

Lattice parameters (Å, degrees): 4.540 4.540 4.540 60.00 60.00 60.00
Atoms (fractional coordinates):
Np  0.250  0.250  0.250
Te  0.750  0.750  0.750
Cu  0.000  0.000  0.000



First-principles (PBE) data for an optimized crystal structure of KFeCuOs, as listed in OQMD.

Values from the calculation:
SG: F-43m, No. 216
E in eV/atom: -4.433

Lattice parameters (Å, degrees): 4.539 4.539 4.539 60.00 60.00 60.00
Atoms (fractional coordinates):
Cu  0.750  0.750  0.750
Fe  0.500  0.500  0.500
Os  0.000  0.000  0.000
K  0.250  0.250  0.250



First-principles (PBE) data for an optimized crystal structure of HfSc2Si2Ni4Ge2, as listed in OQMD.

Values from the calculation:
SG: Immm, No. 71
E in eV/atom: -6.656

Lattice parameters (Å, degrees): 7.432 7.432 7.432 149.65 128.26 61.17
Atoms (fractional coordinates):
Ni  0.025  0.829  0.196
Ge  0.781  0.281  0.500
Ni  0.975  0.171  0.804
Si  0.693  0.000  0.693
Sc  0.375  0.375  0.000
Ni  0.367  0.171  0.196
Si  0.307  0.000  0.307
Ni  0.633  0.829  0.804
Hf  0.000  0.500  0.500
Sc  0.625  0.625  0.000
Ge  0.219  0.719  0.500



First-principles (PBE) data for an optimized crystal structure of Na8Nb2Cu4S21, as listed in OQMD.

Values from the calculation:
SG: P2_12_12, No. 18
E in eV/atom: -4.428

Lattice parameters (Å, degrees): 7.810 29.915 6.734 90.00 90.00 90.00
Atoms (fractional coordinates):
Na  0.734  0.143  0.337
S  0.499  0.396  0.384
S  0.154  0.291  0.301
S  0.735  0.567  0.934
Cu  0.749  0.931  0.725
S  0.009  0.661  0.183
Cu  0.751  0.431  0.275
Na  0.500  0.500  0.740
S  0.500  0.894  0.622
S  0.741  0.430  0.931
S  0.001  0.711  0.754
S  0.346  0.791  0.699
Na  0.238  0.741  0.062
S  0.509  0.839  0.817
S  0.501  0.604  0.384
Na  0.500  0.000  0.958
S  0.004  0.821  0.086
Na  0.266  0.857  0.337
Na  0.262  0.241  0.938
Na  0.738  0.759  0.938
S  0.996  0.179  0.086
S  0.504  0.679  0.914
S  0.779  0.499  0.424
Cu  0.751  0.067  0.723
S  0.721  0.999  0.576
S  0.000  0.394  0.378
Na  0.762  0.259  0.062
S  0.265  0.433  0.934
S  0.241  0.070  0.069
S  0.000  0.606  0.378
S  0.999  0.104  0.616
S  0.501  0.789  0.246
S  0.279  0.001  0.576
S  0.991  0.339  0.183
S  0.001  0.896  0.616
Nb  0.000  0.108  0.962
S  0.765  0.067  0.066
S  0.235  0.933  0.066
S  0.654  0.209  0.699
S  0.846  0.709  0.301
Na  0.234  0.357  0.663
S  0.500  0.106  0.622
S  0.987  0.749  0.494
S  0.491  0.161  0.817
Cu  0.249  0.933  0.723
Na  0.249  0.648  0.641
Na  0.000  0.500  0.042
Na  0.000  0.000  0.260
Nb  0.500  0.392  0.038
S  0.013  0.251  0.494
Na  0.766  0.643  0.663
Cu  0.249  0.569  0.275
S  0.496  0.321  0.914
S  0.259  0.570  0.931
Na  0.251  0.148  0.359
Nb  0.000  0.892  0.962
S  0.000  0.500  0.599
S  0.999  0.289  0.754
Na  0.751  0.352  0.641
Na  0.749  0.852  0.359
S  0.221  0.501  0.424
S  0.499  0.211  0.246
S  0.759  0.930  0.069
Cu  0.251  0.433  0.277
S  0.487  0.751  0.506
Cu  0.749  0.567  0.277
Nb  0.500  0.608  0.038
S  0.513  0.249  0.506
S  0.500  0.000  0.401
Cu  0.251  0.069  0.725



First-principles (PBE) data for an optimized crystal structure of BaPrCu, as listed in OQMD.

Values from the calculation:
SG: F-43m, No. 216
E in eV/atom: -2.870

Lattice parameters (Å, degrees): 5.107 5.107 5.107 60.00 60.00 60.00
Atoms (fractional coordinates):
Pr  0.000  0.000  0.000
Cu  0.750  0.750  0.750
Ba  0.250  0.250  0.250



First-principles (PBE) data for an optimized crystal structure of ScCuBMo, as listed in OQMD.

Values from the calculation:
SG: F-43m, No. 216
E in eV/atom: -6.219

Lattice parameters (Å, degrees): 4.220 4.220 4.220 60.00 60.00 60.00
Atoms (fractional coordinates):
Sc  0.500  0.500  0.500
Cu  0.750  0.750  0.750
B  0.000  0.000  0.000
Mo  0.250  0.250  0.250



First-principles (PBE) data for an optimized crystal structure of Mg2ZnIr3, as listed in OQMD.

Values from the calculation:
SG: P6_3/mmc, No. 194
E in eV/atom: -5.398

Lattice parameters (Å, degrees): 5.315 5.315 8.009 90.00 90.00 120.00
Atoms (fractional coordinates):
Mg  0.667  0.333  0.568
Zn  0.000  0.000  0.000
Ir  0.172  0.345  0.750
Zn  0.000  0.000  0.500
Ir  0.655  0.828  0.750
Ir  0.172  0.828  0.750
Mg  0.333  0.667  0.432
Ir  0.828  0.655  0.250
Ir  0.345  0.172  0.250
Mg  0.333  0.667  0.068
Ir  0.828  0.172  0.250
Mg  0.667  0.333  0.932